Record 1
Material: Mg2Si
Method: DFT, PBE
State: optimized geometry

a b c (Å): 5.8174 6.1246 7.2847
angles (deg): 73.33 90.00 90.00
Last column: nearest neighbours and their distance in Å.
Element x y z (fractional)
Mg 0.1924 0.3212 0.3706  3 Si 2.78-2.87, 4 Mg 3.04-3.08
Mg 0.6047 0.4033 0.0573  3 Si 2.71-2.95
Mg 0.6904 0.2422 0.4995  4 Si 2.72-2.81, 1 Mg 3.04
Mg 0.6924 0.6788 0.6294  3 Si 2.78-2.87, 4 Mg 3.04-3.08
Mg 0.1904 0.7578 0.5005  4 Si 2.72-2.81, 1 Mg 3.04
Mg 0.1262 0.0442 0.0821  4 Si 2.71-2.94
Mg 0.6262 0.9558 0.9179  4 Si 2.71-2.94
Mg 0.1047 0.5967 0.9427  3 Si 2.71-2.95
Si 0.3405 0.3358 0.7317  1 Si 2.55, 3 Mg 2.79-2.81
Si 0.5483 0.9698 0.2811  1 Si 2.55, 6 Mg 2.71-2.82
Si 0.8405 0.6642 0.2683  1 Si 2.55, 3 Mg 2.79-2.81
Si 0.0483 0.0302 0.7189  1 Si 2.55, 6 Mg 2.71-2.82

Calculated values
Uncorrected formation energy (eV/atom): 0.028
Space-group type: P2_1, No. 4


Record 2
Material: Al3C
Method: DFT, PBE
State: optimized geometry

a b c (Å): 8.2907 8.2907 3.0353
angles (deg): 90.00 90.00 144.47
Last column: nearest neighbours and their distance in Å.
Element x y z (fractional)
Al 0.7578 0.2422 0.7500  12 Al 2.95-3.12, 2 C 2.99
Al 0.8399 0.6616 0.7500  2 C 1.98
Al 0.2422 0.7578 0.2500  12 Al 2.95-3.12, 2 C 2.99
Al 0.3384 0.1601 0.7500  2 C 1.98
Al 0.6616 0.8399 0.2500  2 C 1.98
Al 0.1601 0.3384 0.2500  2 C 1.98
C 0.5948 0.4052 0.2500  4 Al 1.98
C 0.4052 0.5948 0.7500  4 Al 1.98

Calculated values
Energy relative to the lowest polymorph listed for this composition (meV/atom): 376
DFT formation energy (eV per atom): 0.402
Space-group type: Cmcm, No. 63


Record 3
Material: MnBeSi2
Method: DFT, PBE
State: optimized geometry

a b c (Å): 4.4358 4.4358 4.1039
angles (deg): 85.43 85.43 34.17
Last column: nearest neighbours and their distance in Å.
Element x y z (fractional)
Be 0.5096 0.5096 0.4988  5 Si 2.32-2.52, 3 Mn 2.52-2.57
Si 0.9901 0.9901 0.0269  4 Be 2.35-2.52, 3 Mn 2.44-2.51, 3 Si 2.45-2.61
Si 0.7500 0.7500 0.7321  1 Be 2.32, 4 Mn 2.40-2.47, 1 Si 2.45
Mn 0.2503 0.2503 0.2422  7 Si 2.40-2.51, 3 Be 2.52-2.57, 2 Mn 2.61

Calculated values
Uncorrected formation energy (eV/atom): -0.038
Space-group type: Cm, No. 8


Record 4
Material: ZrBW
Method: DFT, PBE
State: optimized geometry

a b c (Å): 3.1799 4.5650 6.2757
angles (deg): 79.24 83.00 89.93
Last column: nearest neighbours and their distance in Å.
Element x y z (fractional)
W 0.2947 0.1618 0.8488  4 B 2.29-2.47
W 0.7053 0.8382 0.1512  4 B 2.29-2.47
Zr 0.1860 0.2868 0.3483  3 B 2.49-2.55
Zr 0.8140 0.7132 0.6517  3 B 2.49-2.55
B 0.2474 0.6151 0.9691  2 B 1.85-1.96
B 0.7526 0.3849 0.0309  2 B 1.85-1.96

Calculated values
Energy relative to the lowest polymorph listed for this composition (meV/atom): 26
DFT formation energy (eV per atom): -0.396
Space-group type: P-1, No. 2


Record 5
Material: ScFeCoTc
Method: DFT, PBE
State: optimized geometry

a b c (Å): 4.2896 4.2896 4.2896
angles (deg): 60.00 60.00 60.00
Last column: nearest neighbours and their distance in Å.
Element x y z (fractional)
Co 0.7500 0.7500 0.7500  4 Sc 2.63, 4 Tc 2.63
Fe 0.2500 0.2500 0.2500  4 Sc 2.63, 4 Tc 2.63
Tc 0.5000 0.5000 0.5000  4 Fe 2.63, 4 Co 2.63
Sc 0.0000 0.0000 0.0000  4 Co 2.63, 4 Fe 2.63

Calculated values
DFT formation energy (eV per atom): 0.002
Space-group type: F-43m, No. 216


Record 6
Material: Tl5Hg
Method: DFT, PBE
State: optimized geometry

a b c (Å): 3.9360 5.5841 8.7098
angles (deg): 108.70 90.00 90.00
Last column: nearest neighbours and their distance in Å.
Element x y z (fractional)
Tl 0.0000 0.3254 0.6507  10 Tl 3.43-3.74
Tl 0.5000 0.5000 0.0000  4 Hg 3.42, 8 Tl 3.49-3.79
Tl 0.0000 0.6746 0.3493  10 Tl 3.43-3.74
Tl 0.5000 0.1550 0.3100  2 Hg 3.23, 6 Tl 3.43
Tl 0.5000 0.8450 0.6900  2 Hg 3.23, 6 Tl 3.43
Hg 0.0000 0.0000 0.0000  8 Tl 3.23-3.42

Calculated values
Energy relative to the lowest polymorph listed for this composition (meV/atom): 0
DFT formation energy (eV per atom): 0.003
Space-group type: Cmmm, No. 65


Record 7
Material: Zr2FeSiC
Method: DFT, PBE
State: optimized geometry

a b c (Å): 3.5697 3.5697 11.5654
angles (deg): 90.00 90.00 90.00
Last column: nearest neighbours and their distance in Å.
Element x y z (fractional)
Si 0.0000 0.5000 0.3641  4 Fe 2.38, 4 Zr 2.66
Si 0.5000 0.0000 0.6359  4 Fe 2.38, 4 Zr 2.66
Zr 0.0000 0.5000 0.0952  1 C 2.22
Zr 0.0000 0.5000 0.7089  1 C 2.24
Zr 0.5000 0.0000 0.9048  1 C 2.22
Zr 0.5000 0.0000 0.2911  1 C 2.24
Fe 0.5000 0.5000 0.5000  4 Si 2.38, 4 Fe 2.52
Fe 0.0000 0.0000 0.5000  4 Si 2.38, 4 Fe 2.52
C 0.0000 0.5000 0.9028  2 Zr 2.22-2.24
C 0.5000 0.0000 0.0972  2 Zr 2.22-2.24

Calculated values
Uncorrected formation energy (eV/atom): -0.670
Space-group type: P4/nmm, No. 129


Record 8
Material: Mg2CoOs
Method: DFT, PBE
State: optimized geometry

a b c (Å): 4.3773 4.3773 4.3773
angles (deg): 119.99 119.99 90.02
Last column: nearest neighbours and their distance in Å.
Element x y z (fractional)
Mg 0.2500 0.7500 0.5000  4 Mg 2.68, 4 Os 2.68
Mg 0.0000 0.0000 0.0000  4 Co 2.68, 4 Mg 2.68
Co 0.7500 0.2500 0.5000  4 Os 2.68, 4 Mg 2.68
Os 0.5000 0.5000 0.0000  4 Mg 2.68, 4 Co 2.68

Calculated values
Energy relative to the lowest polymorph listed for this composition (meV/atom): 117
DFT formation energy (eV per atom): 0.219
Space-group type: F-43m, No. 216


Record 9
Material: ErPd4Au7
Method: DFT, PBE
State: optimized geometry

a b c (Å): 5.1087 8.6056 6.1289
angles (deg): 81.26 65.37 72.73
Last column: nearest neighbours and their distance in Å.
Element x y z (fractional)
Au 0.7899 0.9077 0.5125  4 Pd 2.72-2.91, 4 Au 2.72-2.97, 1 Er 2.93
Au 0.5000 0.0000 0.0000  2 Er 2.55, 4 Pd 2.71-2.75, 2 Au 2.84
Au 0.3526 0.5559 0.7389  5 Pd 2.70-2.87, 2 Au 2.79-2.84
Au 0.6474 0.4441 0.2611  5 Pd 2.70-2.87, 2 Au 2.79-2.84
Au 0.2101 0.0923 0.4875  4 Pd 2.72-2.91, 4 Au 2.72-2.97, 1 Er 2.93
Au 0.9332 0.3481 0.7855  2 Au 2.72-2.79, 3 Pd 2.78-2.88
Au 0.0668 0.6519 0.2145  2 Au 2.72-2.79, 3 Pd 2.78-2.88
Er 0.0000 0.0000 0.0000  2 Au 2.55
Pd 0.4295 0.7743 0.3668  8 Au 2.70-2.91, 1 Pd 2.81
Pd 0.7175 0.6763 0.8888  6 Au 2.75-2.87, 1 Pd 2.81
Pd 0.2825 0.3237 0.1112  6 Au 2.75-2.87, 1 Pd 2.81
Pd 0.5705 0.2257 0.6332  8 Au 2.70-2.91, 1 Pd 2.81

Calculated values
Energy relative to the lowest polymorph listed for this composition (meV/atom): 242
DFT formation energy (eV per atom): -0.073
Space-group type: C2/m, No. 12


Record 10
Material: TaSiSe2
Method: DFT, PBE
State: optimized geometry

a b c (Å): 5.2779 5.2779 5.2779
angles (deg): 135.66 135.66 64.51
Last column: nearest neighbours and their distance in Å.
Element x y z (fractional)
Se 0.0000 0.0000 0.0000  4 Si 2.82, 4 Ta 2.99, 4 Se 2.99
Se 0.2500 0.7500 0.5000  4 Ta 2.82, 4 Se 2.99, 4 Si 2.99
Si 0.5000 0.5000 0.0000  8 Se 2.82-2.99, 4 Ta 2.99
Ta 0.7500 0.2500 0.5000  8 Se 2.82-2.99, 4 Si 2.99

Calculated values
Uncorrected formation energy (eV/atom): 0.391
Space-group type: I-4m2, No. 119


Record 11
Material: KPuCl2F8
Method: DFT, PBE
State: optimized geometry

a b c (Å): 6.5676 6.5676 7.1982
angles (deg): 90.00 90.00 120.00
Last column: nearest neighbours and their distance in Å.
Element x y z (fractional)
F 0.1417 0.8583 0.1816  1 Pu 2.07
F 0.6667 0.3333 0.3740  1 Cl 1.66
F 0.8583 0.7166 0.8184  1 Pu 2.07
F 0.1417 0.2834 0.1816  1 Pu 2.07
F 0.8583 0.1417 0.8184  1 Pu 2.07
F 0.3333 0.6667 0.6260  1 Cl 1.66
F 0.7166 0.8583 0.1816  1 Pu 2.07
F 0.2834 0.1417 0.8184  1 Pu 2.07
K 0.0000 0.0000 0.5000  6 F 2.80
Pu 0.0000 0.0000 0.0000  6 F 2.07
Cl 0.3333 0.6667 0.8565  1 F 1.66
Cl 0.6667 0.3333 0.1435  1 F 1.66

Calculated values
Uncorrected formation energy (eV/atom): -2.138
Space-group type: P-3m1, No. 164


Record 12
Material: Ba2ReMo
Method: DFT, PBE
State: optimized geometry

a b c (Å): 5.4564 5.4564 5.4564
angles (deg): 60.00 60.00 60.00
Last column: nearest neighbours and their distance in Å.
Element x y z (fractional)
Ba 0.2500 0.2500 0.2500  4 Re 3.34, 4 Mo 3.34
Ba 0.7500 0.7500 0.7500  4 Re 3.34, 4 Mo 3.34
Re 0.5000 0.5000 0.5000  8 Ba 3.34
Mo 0.0000 0.0000 0.0000  8 Ba 3.34

Calculated values
Energy relative to the lowest polymorph listed for this composition (meV/atom): 1267
DFT formation energy (eV per atom): 1.769
Space-group type: Fm-3m, No. 225